A geometry-optimized InSnTeO2 structure, computed with PBE.

## Properties
M_tot, μB per atom: 0.000
Uncorrected formation energy, eV per atom: -0.21

abc: 4.203 5.871 4.203
angles: 90.00 90.00 90.00
Sites, in units of the cell vectors:
In (0.000, 0.500, 0.000)
O (0.000, 0.000, 0.500)
O (0.500, 0.000, 0.000)
Sn (0.500, 0.500, 0.500)
Te (0.000, 0.000, 0.000)